<i>
Computed, not measured: crystalline SbOsBr2 at its relaxed geometry at the GGA-PBE level of DFT.

Computed properties:
Space group = Imm2
D(E_F) = 0.678 states/eV/atom
Spin magnetization = 0.0 μB/cell
Calculated volume = 24.52 Å³/atom

Cell: 6.9051 6.9051 6.9051 Å, 152.91 138.93 49.89°
Last column: nearest neighbours and their distance in Å.
Fractional coordinates of all 4 atoms:
Sb 0.0000 0.0000 0.0000  2 Os 2.62
Os 0.8352 0.3352 0.5000  2 Sb 2.62, 6 Br 2.82-2.91
Br 0.3402 0.8402 0.5000  4 Os 2.91, 2 Sb 3.14, 2 Br 3.23
Br 0.6507 0.6507 0.0000  2 Os 2.82

<ii>
Computed, not measured: crystalline SbOsBr2 at its relaxed geometry at the GGA-PBE level of DFT.

Computed properties:
Space group = R3m
D(E_F) = 1.120 states/eV/atom
Spin magnetization = 1.0 μB/cell
Calculated volume = 27.07 Å³/atom

Cell: 8.9604 8.9604 8.9604 Å, 24.44 24.44 24.44°
Last column: nearest neighbours and their distance in Å.
Fractional coordinates of all 4 atoms:
Sb 0.0000 0.0000 0.0000  3 Os 2.60
Os 0.2799 0.2799 0.2799  3 Sb 2.60, 3 Br 2.73
Br 0.5505 0.5505 0.5505  3 Os 2.73
Br 0.7495 0.7495 0.7495  3 Sb 3.08

<ii> ends up most stable, edging out the next structure by 0.234 eV/atom.

<i>
Computed, not measured: crystalline Na5B7C3 at its relaxed geometry at the GGA-PBE level of DFT.

Computed properties:
Space group = Cm
D(E_F) = 0.260 states/eV/atom
Spin magnetization = 0.0 μB/cell
Calculated volume = 10.37 Å³/atom

Cell: 11.5866 11.5866 9.9689 Å, 107.01 107.01 14.08°
Last column: nearest neighbours and their distance in Å.
Fractional coordinates of all 30 atoms:
Na 0.0000 0.0000 0.0000  8 B 2.65-2.76, 4 C 2.71-2.72, 6 Na 2.84-2.95
Na 0.1000 0.1000 0.6971  7 B 2.66-2.77, 5 C 2.67-2.72, 6 Na 2.84-2.92
Na 0.1979 0.1979 0.3985  7 B 2.67-2.77, 5 C 2.67-2.74, 6 Na 2.84-2.94
Na 0.3004 0.3004 0.0915  9 B 2.66-2.82, 3 C 2.74-2.76, 6 Na 2.84-2.96
Na 0.3985 0.3985 0.8005  10 B 2.66-2.81, 2 C 2.79-2.81, 6 Na 2.84-2.95
Na 0.5004 0.5004 0.4985  8 B 2.68-2.79, 4 C 2.69-2.74, 6 Na 2.84-2.93
Na 0.5998 0.5998 0.1975  4 C 2.68-2.72, 8 B 2.69-2.79, 6 Na 2.84-2.92
Na 0.6989 0.6989 0.8967  8 B 2.65-2.77, 4 C 2.67-2.76, 6 Na 2.84-2.93
Na 0.7987 0.7987 0.5984  9 B 2.63-2.88, 3 C 2.66-2.75, 6 Na 2.84-2.94
Na 0.9005 0.9005 0.2977  10 B 2.65-2.89, 2 C 2.72, 6 Na 2.84-2.96
B 0.0189 0.0189 0.2861  3 C 1.64-1.66
B 0.1178 0.1178 0.9839  3 B 1.71-1.72
B 0.1846 0.1846 0.1172  2 C 1.62, 1 B 1.71
B 0.2124 0.2124 0.6743  3 C 1.64-1.68
B 0.3163 0.3163 0.3828  3 B 1.64-1.78
B 0.3806 0.3806 0.5107  3 B 1.64-1.76
B 0.4230 0.4230 0.0936  1 C 1.63, 2 B 1.76
B 0.5798 0.5798 0.9076  1 C 1.58, 2 B 1.72
B 0.6156 0.6156 0.4801  3 C 1.64-1.67
B 0.7750 0.7750 0.2987  1 C 1.53
B 0.8098 0.8098 0.8688  2 C 1.64
B 0.8822 0.8822 0.0119  3 B 1.76-1.85
B 0.9213 0.9213 0.5919  3 B 1.71-1.76
B 0.9883 0.9883 0.7243  2 C 1.61, 1 B 1.71
C 0.0836 0.0836 0.4159  3 B 1.64-1.66
C 0.2778 0.2778 0.8056  3 B 1.64-1.68
C 0.4866 0.4866 0.2211  3 B 1.63-1.64
C 0.5182 0.5182 0.7832  3 B 1.58-1.61
C 0.6806 0.6806 0.6104  3 B 1.64-1.67
C 0.7153 0.7153 0.1786  3 B 1.53-1.62

<ii>
Computed, not measured: crystalline Na5B7C3 at its relaxed geometry at the GGA-PBE level of DFT.

Computed properties:
Space group = Amm2
D(E_F) = 0.103 states/eV/atom
Spin magnetization = 0.0 μB/cell
Calculated volume = 10.37 Å³/atom

Cell: 8.5662 7.6894 7.6894 Å, 142.09 90.00 90.00°
Last column: nearest neighbours and their distance in Å.
Fractional coordinates of all 30 atoms:
Na 0.2464 0.0000 0.0000  10 B 2.64-2.84, 2 C 2.71, 6 Na 2.88-2.91
Na 0.2472 0.1971 0.7975  7 B 2.65-2.75, 5 C 2.68-2.75, 6 Na 2.88-2.91
Na 0.2467 0.3988 0.5988  3 C 2.69-2.75, 9 B 2.69-2.78, 6 Na 2.88-2.91
Na 0.2467 0.5988 0.3988  3 C 2.69-2.75, 9 B 2.69-2.78, 6 Na 2.88-2.91
Na 0.2472 0.7975 0.1971  7 B 2.65-2.75, 5 C 2.68-2.75, 6 Na 2.88-2.91
Na 0.7528 0.1971 0.7975  7 B 2.65-2.75, 5 C 2.68-2.75, 6 Na 2.88-2.91
Na 0.7533 0.3988 0.5988  3 C 2.69-2.75, 9 B 2.69-2.78, 6 Na 2.88-2.91
Na 0.7533 0.5988 0.3988  3 C 2.69-2.75, 9 B 2.69-2.78, 6 Na 2.88-2.91
Na 0.7528 0.7975 0.1971  7 B 2.65-2.75, 5 C 2.68-2.75, 6 Na 2.88-2.91
Na 0.7536 0.0000 0.0000  10 B 2.64-2.84, 2 C 2.71, 6 Na 2.88-2.91
B 0.0000 0.0560 0.2674  2 C 1.64-1.65, 1 B 1.75
B 0.0000 0.2674 0.0560  2 C 1.64-1.65, 1 B 1.75
B 0.0000 0.3306 0.3306  3 B 1.75-1.76
B 0.0000 0.4643 0.8639  3 C 1.63-1.69
B 0.0000 0.6822 0.6822  2 C 1.65, 1 B 1.76
B 0.0000 0.8639 0.4643  3 C 1.63-1.69
B 0.5000 0.0660 0.2672  3 B 1.68-1.75
B 0.5000 0.1303 0.5418  2 C 1.61, 1 B 1.75
B 0.5000 0.2672 0.0660  3 B 1.68-1.75
B 0.5000 0.3304 0.3304  3 B 1.68-1.76
B 0.5000 0.5418 0.1303  2 C 1.61, 1 B 1.75
B 0.5000 0.6819 0.6819  3 B 1.72-1.76
B 0.5000 0.7099 0.9274  1 C 1.57, 2 B 1.72-1.74
B 0.5000 0.9274 0.7099  1 C 1.57, 2 B 1.72-1.74
C 0.0000 0.1233 0.5290  3 B 1.63-1.69
C 0.0000 0.5290 0.1233  3 B 1.63-1.69
C 0.0000 0.7301 0.9327  3 B 1.65-1.66
C 0.0000 0.9327 0.7301  3 B 1.65-1.66
C 0.5000 0.4566 0.8606  3 B 1.57-1.61
C 0.5000 0.8606 0.4566  3 B 1.57-1.61

<i> ends up most stable, edging out the next structure by 0.020 eV/atom.

<i>
Computed, not measured: crystalline KMn2Ir at its relaxed geometry at the GGA-PBE level of DFT.

Computed properties:
Space group = I4_1/amd
D(E_F) = 0.958 states/eV/atom
Spin magnetization = 15.9 μB/cell
Calculated volume = 29.25 Å³/atom

Cell: 8.8924 8.8924 8.8924 Å, 144.67 144.67 50.83°
Last column: nearest neighbours and their distance in Å.
Fractional coordinates of all 8 atoms:
K 0.3750 0.6250 0.7500  8 Mn 3.62, 4 Ir 3.82
K 0.6250 0.3750 0.2500  8 Mn 3.62, 4 Ir 3.82
Mn 0.0000 0.0000 0.0000  2 Ir 2.42, 2 Mn 2.70
Mn 0.0000 0.0000 0.5000  2 Ir 2.42, 2 Mn 2.70
Mn 0.0000 0.5000 0.0000  2 Ir 2.42, 2 Mn 2.70
Mn 0.5000 0.0000 0.5000  2 Ir 2.42, 2 Mn 2.70
Ir 0.1250 0.8750 0.2500  4 Mn 2.42
Ir 0.8750 0.1250 0.7500  4 Mn 2.42

<ii>
Computed, not measured: crystalline KMn2Ir at its relaxed geometry at the GGA-PBE level of DFT.

Computed properties:
Space group = C2/m
D(E_F) = 0.749 states/eV/atom
Spin magnetization = 8.2 μB/cell
Calculated volume = 22.10 Å³/atom

Cell: 4.4414 4.4414 7.2571 Å, 94.43 94.43 38.29°
Last column: nearest neighbours and their distance in Å.
Fractional coordinates of all 4 atoms:
K 0.0000 0.0000 0.0000  2 K 2.91
Mn 0.2301 0.2301 0.6500  3 Ir 2.59, 2 Mn 2.66
Mn 0.7699 0.7699 0.3500  3 Ir 2.59, 2 Mn 2.66
Ir 0.5000 0.5000 0.5000  6 Mn 2.59

<ii> ends up most stable, edging out the next structure by 0.358 eV/atom.